(1)
Below is CoSeCl2 at its PBEsol-relaxed geometry, with properties calculated at the meta-GGA SCAN level.

- Formation energy from raw total energies: -19.7 kJ per mole of atoms
- Space-group type: R-3m, No. 166
- Volume: 20.6 A^3/atom

Geometry as POSCAR:
```
CoSeCl2
1.0
3.1515 0.0000 0.0000
1.5757 2.7293 0.0000
1.5757 0.9098 9.5941
Cl Co Se
2 1 1
direct
0.1207 0.1207 0.6379
0.8793 0.8793 0.3621
0.5000 0.5000 0.5000
0.0000 0.0000 0.0000
```



(2)
Below is CaMoPd2Ru at its PBEsol-relaxed geometry, with properties calculated at the meta-GGA SCAN level.

- Energy of formation: 542.8 meV/atom
- Space-group type: P4/mmm, No. 123
- Volume: 21.1 A^3/atom

Geometry as POSCAR:
```
CaMoPd2Ru
1.0
-0.4481 0.7540 4.4355
-0.7591 -4.7131 0.7245
4.7444 -0.6728 0.5937
Pd Ca Ru Mo
2 1 1 1
direct
0.0000 0.5000 0.0000
0.0000 0.0000 0.5000
0.5000 0.5000 0.5000
0.5000 0.0000 0.0000
0.0000 0.0000 0.0000
```



(3)
Below is TmGe2Rh4 at its PBEsol-relaxed geometry, with properties calculated at the meta-GGA SCAN level.

- Energy of formation: -893.5 meV/atom
- Space-group type: Pnma, No. 62
- Volume: 15.0 A^3/atom

Geometry as POSCAR:
```
TmGe2Rh4
1.0
-0.5321 1.2537 3.8960
4.3990 -7.3021 2.9506
9.7448 5.6710 -0.4941
Ge Tm Rh
8 4 16
direct
0.7500 0.5847 0.3612
0.2500 0.8818 0.5596
0.7500 0.3818 0.9404
0.2500 0.0847 0.1388
0.7500 0.9153 0.8612
0.2500 0.6182 0.0596
0.7500 0.1182 0.4404
0.2500 0.4153 0.6388
0.2500 0.3518 0.3268
0.2500 0.1482 0.8268
0.7500 0.6482 0.6732
0.7500 0.8518 0.1732
0.2500 0.8840 0.9982
0.2500 0.6160 0.4982
0.7500 0.6709 0.9379
0.7500 0.1946 0.2306
0.7500 0.5041 0.1557
0.7500 0.1160 0.0018
0.2500 0.4959 0.8443
0.2500 0.3291 0.0621
0.2500 0.0041 0.3443
0.2500 0.1709 0.5621
0.2500 0.6946 0.2694
0.7500 0.9959 0.6557
0.2500 0.8054 0.7694
0.7500 0.3054 0.7306
0.7500 0.3840 0.5018
0.7500 0.8291 0.4379
```



(4)
Below is LiIrRh2 at its PBEsol-relaxed geometry, with properties calculated at the meta-GGA SCAN level.

- Energy of formation: -155.3 meV/atom
- Space-group type: Cmmm, No. 65
- Volume: 13.2 A^3/atom

Geometry as POSCAR:
```
LiIrRh2
1.0
-0.6554 0.8480 -2.3989
2.6399 -3.3020 -1.8885
-4.3154 -1.5559 0.6290
Li Ir Rh
1 1 2
direct
0.5000 0.5000 0.5000
0.5000 0.0000 0.0000
0.0000 0.0000 0.5000
0.0000 0.5000 0.0000
```



(5)
Below is K2SiCl at its PBEsol-relaxed geometry, with properties calculated at the meta-GGA SCAN level.

- Formation energy from raw total energies: -45.4 kJ per mole of atoms
- Space-group type: Fm-3m, No. 225
- Volume: 31.7 A^3/atom

Geometry as POSCAR:
```
K2SiCl
1.0
-5.5775 -0.4741 0.6670
-2.2135 -4.8325 1.8776
-2.2067 -0.2644 5.1806
Si Cl K
1 1 2
direct
0.0000 0.0000 0.0000
0.5000 0.5000 0.5000
0.2500 0.2500 0.2500
0.7500 0.7500 0.7500
```



(6)
Below is TlFe2Ru at its PBEsol-relaxed geometry, with properties calculated at the meta-GGA SCAN level.

- Energy of formation: 456.4 meV/atom
- Space-group type: Fm-3m, No. 225
- Volume: 14.3 A^3/atom

Geometry as POSCAR:
```
TlFe2Ru
1.0
-2.4538 0.2230 -3.5495
-3.5870 -2.3903 -0.3004
-3.8795 1.8948 0.1710
Tl Ru Fe
1 1 2
direct
0.5000 0.5000 0.5000
0.0000 0.0000 0.0000
0.7500 0.7500 0.7500
0.2500 0.2500 0.2500
```



(7)
Below is AsP2Br at its PBEsol-relaxed geometry, with properties calculated at the meta-GGA SCAN level.

- Formation energy from raw total energies: 47.5 kJ per mole of atoms
- Space-group type: P4/mmm, No. 123
- Volume: 20.3 A^3/atom

Geometry as POSCAR:
```
AsP2Br
1.0
-3.1585 -0.6724 0.9133
1.0731 -0.8969 3.0507
-0.7893 6.7995 2.2767
Br As P
1 1 2
direct
0.5000 0.5000 0.5000
0.5000 0.5000 0.0000
0.0000 0.0000 0.1582
0.0000 0.0000 0.8418
```



(8)
Below is TiSiP2S at its PBEsol-relaxed geometry, with properties calculated at the meta-GGA SCAN level.

- Formation energy from raw total energies: 39.6 kJ per mole of atoms
- Space-group type: P4/mmm, No. 123
- Volume: 17.3 A^3/atom

Geometry as POSCAR:
```
TiSiP2S
1.0
4.4274 0.0000 0.0000
0.0000 4.4274 0.0000
0.0000 0.0000 4.4213
Si P S Ti
1 2 1 1
direct
0.0000 0.0000 0.0000
0.5000 0.0000 0.0000
0.0000 0.5000 0.0000
0.0000 0.0000 0.5000
0.5000 0.5000 0.5000
```